No. 1
# Cs2NdYSe4

An optimized crystal structure of Cs2NdYSe4 (PBE, OQMD).

Cell and atoms, written as CIF:
```
data_Cs2NdYSe4
_symmetry_space_group_name_H-M 'P -3 m 1'
_symmetry_Int_Tables_number 164
_symmetry_space_group_name_Hall '-P 3 2"'
_cell_length_a 4.3296
_cell_length_b 4.3296
_cell_length_c 16.7103
_cell_angle_alpha 90.00
_cell_angle_beta 90.00
_cell_angle_gamma 120.00
loop_
_atom_site_label
_atom_site_fract_x
_atom_site_fract_y
_atom_site_fract_z
Cs1 0.3333 0.6667 0.2525
Nd1 0.0000 0.0000 0.0000
Y1 0.0000 0.0000 0.5000
Se1 0.3333 0.6667 0.5914
Se2 0.3333 0.6667 0.9026
```

Values from the calculation:
energy: -40.72 eV/cell
theoretical density: 4.99 g/cm³

***

No. 2
# CsNdSm

An optimized crystal structure of CsNdSm (PBE, OQMD).

Cell and atoms, written as CIF:
```
data_CsNdSm
_symmetry_space_group_name_H-M 'F -4 3 m'
_symmetry_Int_Tables_number 216
_symmetry_space_group_name_Hall 'F -4 2 3'
_cell_length_a 7.933
_cell_length_b 7.933
_cell_length_c 7.933
_cell_angle_alpha 90.00
_cell_angle_beta 90.00
_cell_angle_gamma 90.00
loop_
_atom_site_label
_atom_site_fract_x
_atom_site_fract_y
_atom_site_fract_z
Cs1 0.000 0.000 0.000
Nd1 0.250 0.250 0.250
Sm1 0.250 0.250 0.750
```

Values from the calculation:
energy: -27.36 eV/cell
theoretical density: 5.69 g/cm³

***

No. 3
# CsNdSm

An optimized crystal structure of CsNdSm (PBE, OQMD).

Cell and atoms, written as CIF:
```
data_CsNdSm
_symmetry_space_group_name_H-M 'F -4 3 m'
_symmetry_Int_Tables_number 216
_symmetry_space_group_name_Hall 'F -4 2 3'
_cell_length_a 8.693
_cell_length_b 8.693
_cell_length_c 8.693
_cell_angle_alpha 90.00
_cell_angle_beta 90.00
_cell_angle_gamma 90.00
loop_
_atom_site_label
_atom_site_fract_x
_atom_site_fract_y
_atom_site_fract_z
Cs1 0.000 0.000 0.000
Nd1 0.000 0.000 0.500
Sm1 0.250 0.250 0.250
```

Values from the calculation:
energy: -27.00 eV/cell
theoretical density: 4.32 g/cm³

***

No. 4
# CsNdSnTe3

An optimized crystal structure of CsNdSnTe3 (PBE, OQMD).

Cell and atoms, written as CIF:
```
data_CsNdSnTe3
_symmetry_space_group_name_H-M 'P n m a'
_symmetry_Int_Tables_number 62
_cell_length_a 17.871
_cell_length_b 4.538
_cell_length_c 12.898
_cell_angle_alpha 90.00
_cell_angle_beta 90.00
_cell_angle_gamma 90.00
loop_
_symmetry_equiv_pos_as_xyz
'x,y,z'
'-x,-y,-z'
'-x+1/2,-y,z+1/2'
'x+1/2,y,-z+1/2'
'x+1/2,-y+1/2,-z+1/2'
'-x+1/2,y+1/2,z+1/2'
'-x,y+1/2,-z'
'x,-y+1/2,z'
loop_
_atom_site_label
_atom_site_fract_x
_atom_site_fract_y
_atom_site_fract_z
Cs1 0.228 0.250 0.071
Nd1 0.008 0.750 0.649
Sn1 0.034 0.250 0.918
Te1 0.086 0.750 0.230
Te2 0.102 0.250 0.541
Te3 0.129 0.750 0.835
```

Values from the calculation:
energy: -100.97 eV/cell
theoretical density: 4.94 g/cm³

***

No. 5
# CsNdSnTe3

An optimized crystal structure of CsNdSnTe3 (PBE, OQMD).

Cell and atoms, written as CIF:
```
data_CsNdSnTe3
_symmetry_space_group_name_H-M 'C m c m'
_symmetry_Int_Tables_number 63
_symmetry_space_group_name_Hall '-C 2c 2'
_cell_length_a 4.628
_cell_length_b 17.088
_cell_length_c 12.985
_cell_angle_alpha 90.00
_cell_angle_beta 90.00
_cell_angle_gamma 90.00
loop_
_atom_site_label
_atom_site_fract_x
_atom_site_fract_y
_atom_site_fract_z
Cs1 0.000 0.232 0.250
Nd1 0.000 0.500 0.000
Sn1 0.000 0.072 0.750
Te1 0.000 0.127 0.523
Te2 0.000 0.460 0.750
```

Values from the calculation:
energy: -98.36 eV/cell
theoretical density: 5.04 g/cm³

***

No. 6
# CsSrNd

An optimized crystal structure of CsSrNd (PBE, OQMD).

Cell and atoms, written as CIF:
```
data_CsSrNd
_symmetry_space_group_name_H-M 'F -4 3 m'
_symmetry_Int_Tables_number 216
_symmetry_space_group_name_Hall 'F -4 2 3'
_cell_length_a 9.349
_cell_length_b 9.349
_cell_length_c 9.349
_cell_angle_alpha 90.00
_cell_angle_beta 90.00
_cell_angle_gamma 90.00
loop_
_atom_site_label
_atom_site_fract_x
_atom_site_fract_y
_atom_site_fract_z
Cs1 0.000 0.000 0.000
Sr1 0.000 0.000 0.500
Nd1 0.250 0.250 0.250
```

Values from the calculation:
energy: -18.10 eV/cell
theoretical density: 2.96 g/cm³

***

No. 7
# CsTbNd

An optimized crystal structure of CsTbNd (PBE, OQMD).

Cell and atoms, written as CIF:
```
data_CsTbNd
_symmetry_space_group_name_H-M 'F -4 3 m'
_symmetry_Int_Tables_number 216
_symmetry_space_group_name_Hall 'F -4 2 3'
_cell_length_a 7.893
_cell_length_b 7.893
_cell_length_c 7.893
_cell_angle_alpha 90.00
_cell_angle_beta 90.00
_cell_angle_gamma 90.00
loop_
_atom_site_label
_atom_site_fract_x
_atom_site_fract_y
_atom_site_fract_z
Cs1 0.000 0.000 0.000
Tb1 0.250 0.250 0.250
Nd1 0.250 0.250 0.750
```

Values from the calculation:
energy: -26.62 eV/cell
theoretical density: 5.89 g/cm³

***

No. 8
# CsNdTe4

An optimized crystal structure of CsNdTe4 (PBE, OQMD).

Cell and atoms, written as CIF:
```
data_CsNdTe4
_symmetry_space_group_name_H-M 'P 4/n b m'
_symmetry_Int_Tables_number 125
_cell_length_a 6.985
_cell_length_b 6.985
_cell_length_c 9.680
_cell_angle_alpha 90.00
_cell_angle_beta 90.00
_cell_angle_gamma 90.00
loop_
_symmetry_equiv_pos_as_xyz
'x,y,z'
'-x,-y,-z'
'-y+1/2,x,z'
'y+1/2,-x,-z'
'-x+1/2,-y+1/2,z'
'x+1/2,y+1/2,-z'
'y,-x+1/2,z'
'-y,x+1/2,-z'
'x,-y+1/2,-z'
'-x,y+1/2,z'
'-y+1/2,-x+1/2,-z'
'y+1/2,x+1/2,z'
'-x+1/2,y,-z'
'x+1/2,-y,z'
'y,x,-z'
'-y,-x,z'
loop_
_atom_site_label
_atom_site_fract_x
_atom_site_fract_y
_atom_site_fract_z
Cs1 0.250 0.250 0.000
Nd1 0.250 0.250 0.500
Te1 0.107 0.607 0.303
```

Values from the calculation:
energy: -48.10 eV/cell
theoretical density: 5.54 g/cm³

***

No. 9
# CsNdZnTe3

An optimized crystal structure of CsNdZnTe3 (PBE, OQMD).

Cell and atoms, written as CIF:
```
data_CsNdZnTe3
_symmetry_space_group_name_H-M 'C m c m'
_symmetry_Int_Tables_number 63
_symmetry_space_group_name_Hall '-C 2c 2'
_cell_length_a 4.516
_cell_length_b 17.199
_cell_length_c 12.008
_cell_angle_alpha 90.00
_cell_angle_beta 90.00
_cell_angle_gamma 90.00
loop_
_atom_site_label
_atom_site_fract_x
_atom_site_fract_y
_atom_site_fract_z
Cs1 0.000 0.246 0.250
Nd1 0.000 0.500 0.000
Zn1 0.000 0.036 0.750
Te1 0.000 0.122 0.564
Te2 0.000 0.439 0.750
```

Values from the calculation:
energy: -91.95 eV/cell
theoretical density: 5.17 g/cm³

***

No. 10
# CsNdU

An optimized crystal structure of CsNdU (PBE, OQMD).

Cell and atoms, written as CIF:
```
data_CsNdU
_symmetry_space_group_name_H-M 'F -4 3 m'
_symmetry_Int_Tables_number 216
_symmetry_space_group_name_Hall 'F -4 2 3'
_cell_length_a 8.252
_cell_length_b 8.252
_cell_length_c 8.252
_cell_angle_alpha 90.00
_cell_angle_beta 90.00
_cell_angle_gamma 90.00
loop_
_atom_site_label
_atom_site_fract_x
_atom_site_fract_y
_atom_site_fract_z
Cs1 0.000 0.000 0.000
Nd1 0.250 0.250 0.750
U1 0.000 0.000 0.500
```

Values from the calculation:
energy: -44.83 eV/cell
theoretical density: 6.09 g/cm³

***

No. 11
# CsNdU

An optimized crystal structure of CsNdU (PBE, OQMD).

Cell and atoms, written as CIF:
```
data_CsNdU
_symmetry_space_group_name_H-M 'F -4 3 m'
_symmetry_Int_Tables_number 216
_symmetry_space_group_name_Hall 'F -4 2 3'
_cell_length_a 7.626
_cell_length_b 7.626
_cell_length_c 7.626
_cell_angle_alpha 90.00
_cell_angle_beta 90.00
_cell_angle_gamma 90.00
loop_
_atom_site_label
_atom_site_fract_x
_atom_site_fract_y
_atom_site_fract_z
Cs1 0.000 0.000 0.000
Nd1 0.250 0.250 0.250
U1 0.250 0.250 0.750
```

Values from the calculation:
energy: -44.42 eV/cell
theoretical density: 7.72 g/cm³

***

No. 12
# CsNdW

An optimized crystal structure of CsNdW (PBE, OQMD).

Cell and atoms, written as CIF:
```
data_CsNdW
_symmetry_space_group_name_H-M 'F -4 3 m'
_symmetry_Int_Tables_number 216
_symmetry_space_group_name_Hall 'F -4 2 3'
_cell_length_a 7.262
_cell_length_b 7.262
_cell_length_c 7.262
_cell_angle_alpha 90.00
_cell_angle_beta 90.00
_cell_angle_gamma 90.00
loop_
_atom_site_label
_atom_site_fract_x
_atom_site_fract_y
_atom_site_fract_z
Cs1 0.000 0.000 0.000
Nd1 0.250 0.250 0.250
W1 0.250 0.250 0.750
```

Values from the calculation:
energy: -45.73 eV/cell
theoretical density: 8.00 g/cm³

***

No. 13
# CsNi3

An optimized crystal structure of CsNi3 (PBE, OQMD).

Cell and atoms, written as CIF:
```
data_CsNi3
_symmetry_space_group_name_H-M 'F m -3 m'
_symmetry_Int_Tables_number 225
_symmetry_space_group_name_Hall '-F 4 2 3'
_cell_length_a 6.423
_cell_length_b 6.423
_cell_length_c 6.423
_cell_angle_alpha 90.00
_cell_angle_beta 90.00
_cell_angle_gamma 90.00
loop_
_atom_site_label
_atom_site_fract_x
_atom_site_fract_y
_atom_site_fract_z
Cs1 0.000 0.000 0.000
Ni1 0.000 0.000 0.500
Ni2 0.250 0.250 0.250
```

Values from the calculation:
energy: -49.63 eV/cell
theoretical density: 7.74 g/cm³

***

No. 14
# CsNi3

An optimized crystal structure of CsNi3 (PBE, OQMD).

Cell and atoms, written as CIF:
```
data_CsNi3
_symmetry_space_group_name_H-M 'I 4/m m m'
_symmetry_Int_Tables_number 139
_symmetry_space_group_name_Hall '-I 4 2'
_cell_length_a 3.998
_cell_length_b 3.998
_cell_length_c 8.166
_cell_angle_alpha 90.00
_cell_angle_beta 90.00
_cell_angle_gamma 90.00
loop_
_atom_site_label
_atom_site_fract_x
_atom_site_fract_y
_atom_site_fract_z
Cs1 0.000 0.000 0.000
Ni1 0.000 0.000 0.500
Ni2 0.000 0.500 0.250
```

Values from the calculation:
energy: -24.72 eV/cell
theoretical density: 7.86 g/cm³

***

No. 15
# CsNi

An optimized crystal structure of CsNi (PBE, OQMD).

Cell and atoms, written as CIF:
```
data_CsNi
_symmetry_space_group_name_H-M 'P 63 m c'
_symmetry_Int_Tables_number 186
_symmetry_space_group_name_Hall 'P 6c -2c'
_cell_length_a 5.7706
_cell_length_b 5.7706
_cell_length_c 9.2980
_cell_angle_alpha 90.00
_cell_angle_beta 90.00
_cell_angle_gamma 120.00
loop_
_atom_site_label
_atom_site_fract_x
_atom_site_fract_y
_atom_site_fract_z
Cs1 0.3333 0.6667 0.0000
Ni1 0.3333 0.6667 0.3759
```

Values from the calculation:
energy: -7.67 eV/cell
theoretical density: 2.37 g/cm³

***

No. 16
# CsNi

An optimized crystal structure of CsNi (PBE, OQMD).

Cell and atoms, written as CIF:
```
data_CsNi
_symmetry_space_group_name_H-M 'F m -3 m'
_symmetry_Int_Tables_number 225
_symmetry_space_group_name_Hall '-F 4 2 3'
_cell_length_a 7.886
_cell_length_b 7.886
_cell_length_c 7.886
_cell_angle_alpha 90.00
_cell_angle_beta 90.00
_cell_angle_gamma 90.00
loop_
_atom_site_label
_atom_site_fract_x
_atom_site_fract_y
_atom_site_fract_z
Cs1 0.000 0.000 0.000
Ni1 0.000 0.000 0.500
```

Values from the calculation:
energy: -15.84 eV/cell
theoretical density: 2.59 g/cm³

***

No. 17
# CsNi

An optimized crystal structure of CsNi (PBE, OQMD).

Cell and atoms, written as CIF:
```
data_CsNi
_symmetry_space_group_name_H-M 'A m m 2'
_symmetry_Int_Tables_number 38
_cell_length_a 4.917
_cell_length_b 4.623
_cell_length_c 7.865
_cell_angle_alpha 90.00
_cell_angle_beta 90.00
_cell_angle_gamma 90.00
loop_
_symmetry_equiv_pos_as_xyz
'x,y,z'
'-x,-y,z'
'-x,y,z'
'x,-y,z'
'x,y+1/2,z+1/2'
'-x,-y+1/2,z+1/2'
'-x,y+1/2,z+1/2'
'x,-y+1/2,z+1/2'
loop_
_atom_site_label
_atom_site_fract_x
_atom_site_fract_y
_atom_site_fract_z
Cs1 0.000 0.000 0.000
Ni1 0.500 0.000 0.335
```

Values from the calculation:
energy: -7.97 eV/cell
theoretical density: 3.56 g/cm³

***

No. 18
# CsNi

An optimized crystal structure of CsNi (PBE, OQMD).

Cell and atoms, written as CIF:
```
data_CsNi
_symmetry_space_group_name_H-M 'P 63/m m c'
_symmetry_Int_Tables_number 194
_symmetry_space_group_name_Hall '-P 6c 2c'
_cell_length_a 5.8983
_cell_length_b 5.8983
_cell_length_c 4.5593
_cell_angle_alpha 90.00
_cell_angle_beta 90.00
_cell_angle_gamma 120.00
loop_
_atom_site_label
_atom_site_fract_x
_atom_site_fract_y
_atom_site_fract_z
Cs1 0.3333 0.6667 0.2500
Ni1 0.0000 0.0000 0.0000
```

Values from the calculation:
energy: -10.52 eV/cell
theoretical density: 4.63 g/cm³

***

No. 19
# CsNi3

An optimized crystal structure of CsNi3 (PBE, OQMD).

Cell and atoms, written as CIF:
```
data_CsNi3
_symmetry_space_group_name_H-M 'C m c m'
_symmetry_Int_Tables_number 63
_symmetry_space_group_name_Hall '-C 2c 2'
_cell_length_a 7.546
_cell_length_b 13.059
_cell_length_c 3.990
_cell_angle_alpha 90.00
_cell_angle_beta 90.00
_cell_angle_gamma 90.00
loop_
_atom_site_label
_atom_site_fract_x
_atom_site_fract_y
_atom_site_fract_z
Cs1 0.000 0.167 0.250
Ni1 0.000 0.397 0.750
Ni2 0.155 0.448 0.250
```

Values from the calculation:
energy: -60.15 eV/cell
theoretical density: 5.22 g/cm³

***

No. 20
# CsNi

An optimized crystal structure of CsNi (PBE, OQMD).

Cell and atoms, written as CIF:
```
data_CsNi
_symmetry_space_group_name_H-M 'F -4 3 m'
_symmetry_Int_Tables_number 216
_symmetry_space_group_name_Hall 'F -4 2 3'
_cell_length_a 7.917
_cell_length_b 7.917
_cell_length_c 7.917
_cell_angle_alpha 90.00
_cell_angle_beta 90.00
_cell_angle_gamma 90.00
loop_
_atom_site_label
_atom_site_fract_x
_atom_site_fract_y
_atom_site_fract_z
Cs1 0.000 0.000 0.000
Ni1 0.250 0.250 0.750
```

Values from the calculation:
energy: -14.94 eV/cell
theoretical density: 2.56 g/cm³